Record 1
VASP calculation (PBE) on a geometry-optimized AsRu2I2 structure.

- DFT total energy (eV for the cell shown) = -22.04
- size of the total moment (Bohr magnetons per cell) = 0.3

Unit cell a=8.401 b=8.401 c=8.401 alpha=152.93 beta=152.93 gamma=38.66
Element x y z (fractional)
As 0.000 0.000 0.000
Ru 0.250 0.750 0.500
Ru 0.750 0.250 0.500
I 0.360 0.360 0.000
I 0.640 0.640 0.000



Record 2
VASP calculation (PBE) on a geometry-optimized AsRuI3 structure.

- size of the total moment (Bohr magnetons per cell) = 0.0
- energy above the most stable polymorph in this dataset (meV/atom) = 0.0

Unit cell a=5.320 b=5.320 c=5.320 alpha=90.00 beta=90.00 gamma=90.00
Element x y z (fractional)
As 0.000 0.000 0.000
Ru 0.500 0.500 0.500
I 0.000 0.500 0.500
I 0.500 0.000 0.500
I 0.500 0.500 0.000



Record 3
VASP calculation (PBE) on a geometry-optimized SbAsRuI2 structure.

- size of the total moment (Bohr magnetons per cell) = 3.5
- energy above the most stable polymorph in this dataset (meV/atom) = 552.6

Unit cell a=5.530 b=5.530 c=5.548 alpha=90.00 beta=90.00 gamma=90.00
Element x y z (fractional)
Sb 0.000 0.000 0.000
As 0.000 0.000 0.500
Ru 0.500 0.500 0.000
I 0.000 0.500 0.500
I 0.500 0.000 0.500



Record 4
VASP calculation (PBE) on a geometry-optimized SbAsRuI2 structure.

- size of the total moment (Bohr magnetons per cell) = 0.0
- energy above the most stable polymorph in this dataset (meV/atom) = 0.0

Unit cell a=5.347 b=5.347 c=5.085 alpha=90.00 beta=90.00 gamma=90.00
Element x y z (fractional)
Sb 0.000 0.000 0.000
As 0.500 0.500 0.000
Ru 0.000 0.000 0.500
I 0.000 0.500 0.500
I 0.500 0.000 0.500



Record 5
VASP calculation (PBE) on a geometry-optimized AsRuSe2I structure.

- size of the total moment (Bohr magnetons per cell) = 2.9
- energy above the most stable polymorph in this dataset (meV/atom) = 476.9

Unit cell a=5.159 b=5.159 c=4.812 alpha=90.00 beta=90.00 gamma=90.00
Element x y z (fractional)
As 0.000 0.000 0.000
Ru 0.000 0.000 0.500
Se 0.000 0.500 0.000
Se 0.500 0.000 0.000
I 0.500 0.500 0.500



Record 6
VASP calculation (PBE) on a geometry-optimized AsRuSe2I structure.

- size of the total moment (Bohr magnetons per cell) = 0.0
- energy above the most stable polymorph in this dataset (meV/atom) = 0.0

Unit cell a=4.981 b=4.981 c=4.802 alpha=90.00 beta=90.00 gamma=90.00
Element x y z (fractional)
As 0.000 0.000 0.000
Ru 0.000 0.000 0.500
Se 0.000 0.500 0.500
Se 0.500 0.000 0.500
I 0.500 0.500 0.000



Record 7
VASP calculation (PBE) on a geometry-optimized Te2AsRuI structure.

- size of the total moment (Bohr magnetons per cell) = 0.0
- energy above the most stable polymorph in this dataset (meV/atom) = 0.0

Unit cell a=5.140 b=5.140 c=5.401 alpha=90.00 beta=90.00 gamma=90.00
Element x y z (fractional)
Te 0.000 0.500 0.000
Te 0.500 0.000 0.000
As 0.000 0.000 0.500
Ru 0.500 0.500 0.000
I 0.500 0.500 0.500



Record 8
VASP calculation (PBE) on a geometry-optimized TeAsRuI2 structure.

- size of the total moment (Bohr magnetons per cell) = 0.0
- energy above the most stable polymorph in this dataset (meV/atom) = 0.0

Unit cell a=5.362 b=5.362 c=5.107 alpha=90.00 beta=90.00 gamma=90.00
Element x y z (fractional)
Te 0.000 0.000 0.000
As 0.500 0.500 0.000
Ru 0.000 0.000 0.500
I 0.000 0.500 0.500
I 0.500 0.000 0.500